Entry 1:
Compound: ZrWS2N
Source: the Alexandria database
Functional: PBE
Structure: optimized geometry

Geometry as CIF:
```
data_ZrWS2N
_chemical_formula_sum 'Zr1 W1 S2 N1'
_space_group_name_H-M_alt 'P 1'
_space_group_IT_number 1
_cell_length_a 4.786
_cell_length_b 4.786
_cell_length_c 3.787
_cell_angle_alpha 90.00
_cell_angle_beta 90.00
_cell_angle_gamma 90.00
loop_
_space_group_symop_operation_xyz
'x,y,z'
loop_
_atom_site_label
_atom_site_type_symbol
_atom_site_fract_x
_atom_site_fract_y
_atom_site_fract_z
W1 W 0.000 0.000 0.000
S1 S 0.500 0.000 0.000
S2 S 0.000 0.500 0.000
Zr1 Zr 0.500 0.500 0.500
N1 N 0.000 0.000 0.500
```

Output
V in Å³ per cell: 87
DOS(E_F) in states/eV/f.u.: 4.258
Energy in eV/atom: -7.74
E_form (uncorrected) in eV/atom: -0.122

---

Entry 2:
Compound: YSN2
Source: the Alexandria database
Functional: PBE
Structure: optimized geometry

Geometry as CIF:
```
data_YSN2
_chemical_formula_sum 'Y2 S2 N4'
_space_group_name_H-M_alt 'P 1'
_space_group_IT_number 1
_cell_length_a 4.604
_cell_length_b 4.604
_cell_length_c 6.641
_cell_angle_alpha 69.72
_cell_angle_beta 69.72
_cell_angle_gamma 90.00
loop_
_space_group_symop_operation_xyz
'x,y,z'
loop_
_atom_site_label
_atom_site_type_symbol
_atom_site_fract_x
_atom_site_fract_y
_atom_site_fract_z
N1 N 0.576 0.125 0.250
N2 N 0.174 0.625 0.250
N3 N 0.875 0.826 0.750
N4 N 0.375 0.424 0.750
S1 S 0.250 0.750 0.500
S2 S 0.500 0.500 0.000
Y1 Y 0.000 0.000 0.000
Y2 Y 0.750 0.250 0.500
```

Output
V in Å³ per cell: 123
DOS(E_F) in states/eV/f.u.: 1.408
Energy in eV/atom: -6.55
E_form (uncorrected) in eV/atom: 0.265

---

Entry 3:
Compound: Y4SN3
Source: the Alexandria database
Functional: PBE
Structure: optimized geometry

Geometry as CIF:
```
data_Y4SN3
_chemical_formula_sum 'Y4 S1 N3'
_space_group_name_H-M_alt 'P 1'
_space_group_IT_number 1
_cell_length_a 3.555
_cell_length_b 3.555
_cell_length_c 12.145
_cell_angle_alpha 81.58
_cell_angle_beta 81.58
_cell_angle_gamma 60.00
loop_
_space_group_symop_operation_xyz
'x,y,z'
loop_
_atom_site_label
_atom_site_type_symbol
_atom_site_fract_x
_atom_site_fract_y
_atom_site_fract_z
N1 N 0.500 0.500 0.500
N2 N 0.753 0.753 0.741
N3 N 0.247 0.247 0.259
Y1 Y 0.386 0.386 0.843
Y2 Y 0.129 0.129 0.614
Y3 Y 0.614 0.614 0.157
Y4 Y 0.871 0.871 0.386
S1 S 0.000 0.000 0.000
```

Output
V in Å³ per cell: 131
DOS(E_F) in states/eV/f.u.: 1.576
Energy in eV/atom: -8.65
E_form (uncorrected) in eV/atom: -1.782

---

Entry 4:
Compound: YSN2
Source: the Alexandria database
Functional: PBE
Structure: optimized geometry

Geometry as CIF:
```
data_YSN2
_chemical_formula_sum 'Y1 S1 N2'
_space_group_name_H-M_alt 'P 1'
_space_group_IT_number 1
_cell_length_a 6.172
_cell_length_b 6.172
_cell_length_c 6.172
_cell_angle_alpha 33.77
_cell_angle_beta 33.77
_cell_angle_gamma 33.77
loop_
_space_group_symop_operation_xyz
'x,y,z'
loop_
_atom_site_label
_atom_site_type_symbol
_atom_site_fract_x
_atom_site_fract_y
_atom_site_fract_z
N1 N 0.098 0.098 0.098
N2 N 0.902 0.902 0.902
Y1 Y 0.500 0.500 0.500
S1 S 0.000 0.000 0.000
```

Output
V in Å³ per cell: 65
DOS(E_F) in states/eV/f.u.: 3.019
Energy in eV/atom: -6.96
E_form (uncorrected) in eV/atom: -0.147

---

Entry 5:
Compound: Y4S2N
Source: the Alexandria database
Functional: PBE
Structure: optimized geometry

Geometry as CIF:
```
data_Y4S2N
_chemical_formula_sum 'Y4 S2 N1'
_space_group_name_H-M_alt 'P 1'
_space_group_IT_number 1
_cell_length_a 3.691
_cell_length_b 3.691
_cell_length_c 12.792
_cell_angle_alpha 81.71
_cell_angle_beta 81.71
_cell_angle_gamma 60.00
loop_
_space_group_symop_operation_xyz
'x,y,z'
loop_
_atom_site_label
_atom_site_type_symbol
_atom_site_fract_x
_atom_site_fract_y
_atom_site_fract_z
S1 S 0.585 0.585 0.244
S2 S 0.415 0.415 0.756
N1 N 0.000 0.000 0.000
Y1 Y 0.299 0.299 0.104
Y2 Y 0.129 0.129 0.614
Y3 Y 0.701 0.701 0.896
Y4 Y 0.871 0.871 0.386
```

Output
V in Å³ per cell: 149
DOS(E_F) in states/eV/f.u.: 3.408
Energy in eV/atom: -7.67
E_form (uncorrected) in eV/atom: -1.605

---

Entry 6:
Compound: Y2SN
Source: the Alexandria database
Functional: PBE
Structure: optimized geometry

Geometry as CIF:
```
data_Y2SN
_chemical_formula_sum 'Y4 S2 N2'
_space_group_name_H-M_alt 'P 1'
_space_group_IT_number 1
_cell_length_a 5.859
_cell_length_b 5.859
_cell_length_c 6.780
_cell_angle_alpha 64.40
_cell_angle_beta 64.40
_cell_angle_gamma 90.00
loop_
_space_group_symop_operation_xyz
'x,y,z'
loop_
_atom_site_label
_atom_site_type_symbol
_atom_site_fract_x
_atom_site_fract_y
_atom_site_fract_z
Y1 Y 0.375 0.434 0.750
Y2 Y 0.566 0.125 0.250
Y3 Y 0.184 0.625 0.250
Y4 Y 0.875 0.816 0.750
S1 S 0.000 0.000 0.000
S2 S 0.750 0.250 0.500
N1 N 0.500 0.500 0.000
N2 N 0.250 0.750 0.500
```

Output
V in Å³ per cell: 184
DOS(E_F) in states/eV/f.u.: 2.221
Energy in eV/atom: -7.89
E_form (uncorrected) in eV/atom: -1.549